Entry 1:
Compound: KTe3
Source: the Alexandria database
Functional: PBE
Structure: relaxed

Values from the calculation:
energy above the lowest structure with this stoichiometry	0.977	eV per formula unit
ΔE_f (raw)	-0.55	eV per formula unit
space-group type	P-6m2
total magnetization	0.00	μB/f.u.

Cell: 4.297 4.297 9.113 Å, 90.00 90.00 120.00°
Atoms (fractional coordinates):
K: 0.000 0.000 0.000
Te: 0.000 0.000 0.500
Te: 0.667 0.333 0.282
Te: 0.667 0.333 0.718


Entry 2:
Compound: KTe
Source: the Alexandria database
Functional: PBE
Structure: relaxed

Values from the calculation:
ΔE_f (raw)	0.01	eV per formula unit
space-group type	R-3m
total magnetization	0.00	μB/f.u.

Cell: 13.989 13.989 13.989 Å, 15.17 15.17 15.17°
Atoms (fractional coordinates):
K: 0.989 0.989 0.989
K: 0.761 0.761 0.761
Te: 0.492 0.492 0.492
Te: 0.258 0.258 0.258


Entry 3:
Compound: KTe2
Source: the Alexandria database
Functional: PBE
Structure: relaxed

Values from the calculation:
energy above the lowest structure with this stoichiometry	0.672	eV per formula unit
ΔE_f (raw)	-1.01	eV per formula unit
space-group type	Pa-3
total magnetization	1.04	μB/f.u.

Cell: 8.448 8.448 8.448 Å, 90.00 90.00 90.00°
Last column: magnetic moment on the atom in μB.
Atoms (fractional coordinates):
K: 0.000 0.000 0.000  0.01
K: 0.500 0.500 0.000  0.01
K: 0.500 0.000 0.500  0.01
K: 0.000 0.500 0.500  0.01
Te: 0.592 0.592 0.408  0.25
Te: 0.408 0.408 0.592  0.25
Te: 0.092 0.908 0.592  0.25
Te: 0.908 0.092 0.408  0.25
Te: 0.408 0.092 0.092  0.25
Te: 0.592 0.908 0.908  0.25
Te: 0.908 0.408 0.908  0.25
Te: 0.092 0.592 0.092  0.25


Entry 4:
Compound: KTe2
Source: the Alexandria database
Functional: PBE
Structure: relaxed

Values from the calculation:
energy above the lowest structure with this stoichiometry	0.504	eV per formula unit
ΔE_f (raw)	-1.18	eV per formula unit
space-group type	P6_3/mmc
total magnetization	0.00	μB/f.u.

Cell: 5.302 5.302 9.836 Å, 90.00 90.00 120.00°
Atoms (fractional coordinates):
K: 0.000 0.000 0.250
K: 0.000 0.000 0.750
Te: 0.667 0.333 0.480
Te: 0.333 0.667 0.980
Te: 0.333 0.667 0.520
Te: 0.667 0.333 0.020


Entry 5:
Compound: KTe
Source: the Alexandria database
Functional: PBE
Structure: relaxed

Values from the calculation:
ΔE_f (raw)	-1.41	eV per formula unit
space-group type	Cm
total magnetization	0.00	μB/f.u.

Cell: 6.716 6.716 8.397 Å, 88.78 88.78 38.66°
Atoms (fractional coordinates):
K: 0.941 0.941 0.982
K: 0.714 0.714 0.679
K: 0.621 0.621 0.292
Te: 0.348 0.348 0.305
Te: 0.984 0.984 0.561
Te: 0.224 0.224 0.014


Entry 6:
Compound: KTe
Source: the Alexandria database
Functional: PBE
Structure: relaxed

Values from the calculation:
ΔE_f (raw)	-1.18	eV per formula unit
space-group type	P4/m
total magnetization	0.00	μB/f.u.

Cell: 12.606 12.606 5.341 Å, 90.00 90.00 90.00°
Atoms (fractional coordinates):
K: 0.596 0.712 0.500
K: 0.404 0.288 0.500
K: 0.288 0.596 0.500
K: 0.712 0.404 0.500
K: 0.955 0.300 0.000
K: 0.045 0.700 0.000
K: 0.700 0.955 0.000
K: 0.300 0.045 0.000
Te: 0.918 0.574 0.500
Te: 0.082 0.426 0.500
Te: 0.426 0.918 0.500
Te: 0.574 0.082 0.500
Te: 0.765 0.682 0.000
Te: 0.235 0.318 0.000
Te: 0.318 0.765 0.000
Te: 0.682 0.235 0.000


Entry 7:
Compound: KTe3
Source: the Alexandria database
Functional: PBE
Structure: relaxed

Values from the calculation:
energy above the lowest structure with this stoichiometry	0.761	eV per formula unit
ΔE_f (raw)	-0.77	eV per formula unit
space-group type	Pm-3m
total magnetization	0.00	μB/f.u.

Cell: 4.985 4.985 4.985 Å, 90.00 90.00 90.00°
Atoms (fractional coordinates):
K: 0.000 0.000 0.000
Te: 0.000 0.500 0.500
Te: 0.500 0.000 0.500
Te: 0.500 0.500 0.000


Entry 8:
Compound: KTe3
Source: the Alexandria database
Functional: PBE
Structure: relaxed

Values from the calculation:
energy above the lowest structure with this stoichiometry	0.109	eV per formula unit
ΔE_f (raw)	-1.42	eV per formula unit
space-group type	Immm
total magnetization	0.00	μB/f.u.

Cell: 6.512 6.512 6.512 Å, 141.66 123.85 70.04°
Atoms (fractional coordinates):
K: 0.000 0.000 0.000
Te: 0.702 0.202 0.500
Te: 0.500 0.500 0.000
Te: 0.298 0.798 0.500


Entry 9:
Compound: KTe
Source: the Alexandria database
Functional: PBE
Structure: relaxed

Values from the calculation:
ΔE_f (raw)	-0.93	eV per formula unit
space-group type	P-6m2
total magnetization	0.02	μB/f.u.

Cell: 4.007 4.007 5.320 Å, 90.00 90.00 120.00°
Atoms (fractional coordinates):
K: 0.000 0.000 0.000
Te: 0.667 0.333 0.500


Entry 10:
Compound: KTe
Source: the Alexandria database
Functional: PBE
Structure: relaxed

Values from the calculation:
ΔE_f (raw)	-0.68	eV per formula unit
space-group type	I-43m
total magnetization	1.01	μB/f.u.

Cell: 10.641 10.641 10.641 Å, 90.00 90.00 90.00°
Last column: magnetic moment on the atom in μB.
Atoms (fractional coordinates):
K: 0.188 0.188 0.188  0.01
K: 0.188 0.812 0.812  0.01
K: 0.812 0.188 0.812  0.01
K: 0.812 0.812 0.188  0.01
K: 0.688 0.688 0.688  0.01
K: 0.688 0.312 0.312  0.01
K: 0.312 0.688 0.312  0.01
K: 0.312 0.312 0.688  0.01
Te: 0.375 0.375 0.375  0.47
Te: 0.375 0.625 0.625  0.47
Te: 0.625 0.375 0.625  0.47
Te: 0.625 0.625 0.375  0.47
Te: 0.875 0.875 0.875  0.47
Te: 0.875 0.125 0.125  0.47
Te: 0.125 0.875 0.125  0.47
Te: 0.125 0.125 0.875  0.47


Entry 11:
Compound: KTe3
Source: the Alexandria database
Functional: PBE
Structure: relaxed

Values from the calculation:
energy above the lowest structure with this stoichiometry	1.152	eV per formula unit
ΔE_f (raw)	-0.38	eV per formula unit
space-group type	P4/mmm
total magnetization	0.00	μB/f.u.

Cell: 3.810 3.810 8.784 Å, 90.00 90.00 90.00°
Atoms (fractional coordinates):
K: 0.000 0.000 0.000
Te: 0.500 0.500 0.280
Te: 0.000 0.000 0.500
Te: 0.500 0.500 0.720


Entry 12:
Compound: K3Te4
Source: the Alexandria database
Functional: PBE
Structure: relaxed

Values from the calculation:
energy above the lowest structure with this stoichiometry	0.000	eV per formula unit
ΔE_f (raw)	-4.19	eV per formula unit
space-group type	Immm
total magnetization	0.00	μB/f.u.

Cell: 4.512 5.399 12.108 Å, 102.88 100.74 90.00°
Atoms (fractional coordinates):
K: 0.500 0.000 0.000
K: 0.179 0.179 0.359
K: 0.821 0.821 0.641
Te: 0.062 0.562 0.125
Te: 0.938 0.438 0.875
Te: 0.662 0.662 0.325
Te: 0.338 0.338 0.675


Entry 13:
Compound: K5Te
Source: the Alexandria database
Functional: PBE
Structure: relaxed

Values from the calculation:
energy above the lowest structure with this stoichiometry	0.000	eV per formula unit
ΔE_f (raw)	-2.45	eV per formula unit
space-group type	Cm
total magnetization	0.00	μB/f.u.

Cell: 8.233 8.233 10.814 Å, 64.18 64.18 32.89°
Atoms (fractional coordinates):
K: 0.080 0.080 0.997
K: 0.695 0.695 0.611
K: 0.309 0.309 0.225
K: 0.356 0.356 0.843
K: 0.033 0.033 0.379
Te: 0.694 0.694 0.111


Entry 14:
Compound: KTe3
Source: the Alexandria database
Functional: PBE
Structure: relaxed

Values from the calculation:
energy above the lowest structure with this stoichiometry	0.906	eV per formula unit
ΔE_f (raw)	-0.62	eV per formula unit
space-group type	I4/mmm
total magnetization	0.00	μB/f.u.

Cell: 6.566 6.566 6.566 Å, 138.00 138.00 60.91°
Atoms (fractional coordinates):
K: 0.000 0.000 0.000
Te: 0.250 0.750 0.500
Te: 0.500 0.500 0.000
Te: 0.750 0.250 0.500


Entry 15:
Compound: KTe3
Source: the Alexandria database
Functional: PBE
Structure: relaxed

Values from the calculation:
energy above the lowest structure with this stoichiometry	0.734	eV per formula unit
ΔE_f (raw)	-0.80	eV per formula unit
space-group type	Pmm2
total magnetization	0.00	μB/f.u.

Cell: 3.580 6.218 6.211 Å, 90.00 90.00 90.00°
Atoms (fractional coordinates):
K: 0.000 0.000 0.933
Te: 0.500 0.000 0.435
Te: 0.500 0.500 0.964
Te: 0.000 0.500 0.334


Entry 16:
Compound: KTe
Source: the Alexandria database
Functional: PBE
Structure: relaxed

Values from the calculation:
ΔE_f (raw)	-1.24	eV per formula unit
space-group type	Imma
total magnetization	0.00	μB/f.u.

Cell: 7.266 7.266 7.266 Å, 147.03 134.07 57.69°
Atoms (fractional coordinates):
K: 0.357 0.607 0.250
K: 0.643 0.393 0.750
Te: 0.899 0.149 0.250
Te: 0.101 0.851 0.750


Entry 17:
Compound: KTe3
Source: the Alexandria database
Functional: PBE
Structure: relaxed

Values from the calculation:
energy above the lowest structure with this stoichiometry	0.785	eV per formula unit
ΔE_f (raw)	-0.74	eV per formula unit
space-group type	P6_3/mmc
total magnetization	0.00	μB/f.u.

Cell: 6.714 6.714 6.611 Å, 90.00 90.00 120.00°
Atoms (fractional coordinates):
K: 0.333 0.667 0.250
K: 0.667 0.333 0.750
Te: 0.827 0.655 0.250
Te: 0.345 0.173 0.250
Te: 0.827 0.173 0.250
Te: 0.173 0.345 0.750
Te: 0.655 0.827 0.750
Te: 0.173 0.827 0.750


Entry 18:
Compound: KTe3
Source: the Alexandria database
Functional: PBE
Structure: relaxed

Values from the calculation:
energy above the lowest structure with this stoichiometry	0.784	eV per formula unit
ΔE_f (raw)	-0.74	eV per formula unit
space-group type	P4/mmm
total magnetization	0.00	μB/f.u.

Cell: 3.174 3.174 14.007 Å, 90.00 90.00 90.02°
Atoms (fractional coordinates):
K: 0.000 0.000 0.000
Te: 0.500 0.500 0.803
Te: 0.000 0.000 0.500
Te: 0.500 0.500 0.197


Entry 19:
Compound: KTe
Source: the Alexandria database
Functional: PBE
Structure: relaxed

Values from the calculation:
ΔE_f (raw)	-1.69	eV per formula unit
space-group type	P-62m
total magnetization	0.00	μB/f.u.

Cell: 9.688 9.688 6.398 Å, 90.00 90.00 120.00°
Atoms (fractional coordinates):
K: 0.657 0.000 0.000
K: 0.000 0.657 0.000
K: 0.343 0.343 0.000
K: 0.324 0.000 0.500
K: 0.000 0.324 0.500
K: 0.676 0.676 0.500
Te: 0.000 0.000 0.223
Te: 0.000 0.000 0.777
Te: 0.333 0.667 0.276
Te: 0.333 0.667 0.724
Te: 0.667 0.333 0.724
Te: 0.667 0.333 0.276


Entry 20:
Compound: KTe
Source: the Alexandria database
Functional: PBE
Structure: relaxed

Values from the calculation:
ΔE_f (raw)	-1.08	eV per formula unit
space-group type	P6_3/mmc
total magnetization	0.00	μB/f.u.

Cell: 4.023 4.023 10.606 Å, 90.00 90.00 120.00°
Atoms (fractional coordinates):
K: 0.000 0.000 0.000
K: 0.000 0.000 0.500
Te: 0.333 0.667 0.250
Te: 0.667 0.333 0.750